# Rb2V3O8

A geometry-optimized Rb2V3O8 structure (PBE+U, the Alexandria database).

The final energy comes out at -6.9296 eV/atom. The calculation puts the total magnetic moment at 0.077 μB per atom. The value obtained for the density of states at the Fermi level is 0.0 states/eV/f.u. The value obtained for the offset from the most stable computed form is 0.009 eV per atom.

The structure belongs to space group P4bm (No. 100); the cell edges are 9.046, 9.046 and 5.937 Å and the angles 90.00°, 90.00° and 90.00°. The asymmetric unit holds Rb at (0.169, 0.331, 0.000), V at (0.000, 0.000, 0.703), V at (0.134, 0.634, 0.518), O at (0.000, 0.000, 0.981), O at (0.000, 0.500, 0.626), O at (0.085, 0.806, 0.626) and O at (0.132, 0.632, 0.237).